Entry w
The following is a DFT calculation (PBE) of a geometry-optimized YHg2F2 structure.

abc: 7.7973 7.7973 3.5309
angles: 90.00 90.00 90.00
Fractional coordinates of all 10 atoms:
Hg 0.1275 0.3725 0.0000
Hg 0.6275 0.1275 0.0000
Hg 0.3725 0.8725 0.0000
Hg 0.8725 0.6275 0.0000
F 0.3265 0.1735 0.5000
F 0.8265 0.3265 0.5000
F 0.1735 0.6735 0.5000
F 0.6735 0.8265 0.5000
Y 0.0000 0.0000 0.0000
Y 0.5000 0.5000 0.0000

Output
As for the space group: No. 127. Its mass density is 8.2 Mg/m³.

---

Entry x
The following is a DFT calculation (PBE) of a geometry-optimized YHg2F2 structure.

abc: 3.7828 3.7828 7.4229
angles: 75.24 75.24 90.00
Each line ends with the local moment (μB).
Fractional coordinates of all 5 atoms:
F 0.2500 0.7500 0.5000  0.00
F 0.7500 0.2500 0.5000  0.00
Hg 0.3642 0.3642 0.2715  0.01
Hg 0.6358 0.6358 0.7285  0.01
Y 0.0000 0.0000 0.0000  0.28

Output
As for the space group: No. 139. Its mass density is 8.9 Mg/m³.

---

According to the calculations, the structures order from most to least stable as entry x, entry w.

---

Entry w
The following is a DFT calculation (PBE) of a geometry-optimized YHg3F structure.

abc: 6.0504 6.0504 6.0504
angles: 90.00 90.00 90.00
Fractional coordinates of all 5 atoms:
Hg 0.0000 0.5000 0.0000
Hg 0.0000 0.0000 0.5000
Hg 0.5000 0.0000 0.0000
Y 0.0000 0.0000 0.0000
F 0.5000 0.5000 0.5000

Output
As for the space group: No. 221. Its mass density is 5.3 Mg/m³.

---

Entry x
The following is a DFT calculation (PBE) of a geometry-optimized YHg3F structure.

abc: 4.9883 4.9883 4.9883
angles: 90.00 90.00 90.00
Fractional coordinates of all 5 atoms:
Hg 0.0000 0.0000 0.5000
Hg 0.0000 0.5000 0.0000
Hg 0.5000 0.0000 0.0000
Y 0.5000 0.5000 0.5000
F 0.0000 0.0000 0.0000

Output
As for the space group: No. 221. Its mass density is 9.5 Mg/m³.

---

According to the calculations, the structures order from most to least stable as entry x, entry w.